VASP calculation (GGA-PBE) on a relaxed Ho2Er2CI5 crystal.

Results
The value obtained for the total energy is -46.0 eV per formula unit.

Cell lengths 9.7902, 9.7902, 8.5275 Å; angles 102.17, 102.17, 23.21 degrees
Last column: nearest neighbours and their distance in Å.
Fractional coordinates of all 10 atoms:
Ho 0.1267 0.1267 0.0627  1 C 2.37
Ho 0.8733 0.8733 0.9373  1 C 2.37
Er 0.4995 0.4995 0.1881  2 C 2.54
Er 0.5005 0.5005 0.8119  2 C 2.54
C 0.0000 0.0000 0.0000  2 Ho 2.37, 4 Er 2.54
I 0.0000 0.0000 0.5000  4 Er 3.31
I 0.3346 0.3346 0.1780  2 Ho 3.05, 1 Er 3.14
I 0.3382 0.3382 0.6617  2 Ho 3.03, 1 Er 3.10
I 0.6618 0.6618 0.3383  2 Ho 3.03, 1 Er 3.10
I 0.6654 0.6654 0.8220  2 Ho 3.05, 1 Er 3.14